[1]
# PW2Br, relaxed, DFT PBE
# * DOS at the Fermi energy: 0.718 states/eV/atom
# * crystal system: tetragonal
# * raw formation energy: 1057 meV per atom
# * theoretical density: 12.26 g cm⁻³
# * relative energy among the computed polymorphs: 0.9577 eV/atom
# * size of the total moment: 0.000 μB/f.u.
data_PW2Br
_cell_length_a 4.0918
_cell_length_b 4.0918
_cell_length_c 7.7431
_cell_angle_alpha 90.00
_cell_angle_beta 90.00
_cell_angle_gamma 90.00
_symmetry_space_group_name_H-M 'I -4 m 2'
_symmetry_Int_Tables_number 119
_symmetry_space_group_name_Hall 'I -4 -2'
loop_
_atom_site_label
_atom_site_fract_x
_atom_site_fract_y
_atom_site_fract_z
P1 0.0000 0.0000 0.0000
W1 0.0000 0.0000 0.5000
W2 0.0000 0.5000 0.7500
Br1 0.0000 0.5000 0.2500

***

[2]
# PW2Br, relaxed, DFT PBE
# * DOS at the Fermi energy: 0.657 states/eV/atom
# * crystal system: tetragonal
# * raw formation energy: 469 meV per atom
# * theoretical density: 11.61 g cm⁻³
# * relative energy among the computed polymorphs: 0.3695 eV/atom
# * size of the total moment: 0.000 μB/f.u.
data_PW2Br
_cell_length_a 3.1755
_cell_length_b 3.1755
_cell_length_c 6.7904
_cell_angle_alpha 90.00
_cell_angle_beta 90.00
_cell_angle_gamma 90.00
_symmetry_space_group_name_H-M 'P 4/m m m'
_symmetry_Int_Tables_number 123
_symmetry_space_group_name_Hall '-P 4 2'
loop_
_atom_site_label
_atom_site_fract_x
_atom_site_fract_y
_atom_site_fract_z
P1 0.0000 0.0000 0.0000
W1 0.5000 0.5000 0.1792
Br1 0.0000 0.0000 0.5000

***

[3]
# PWBr, relaxed, DFT PBE
# * DOS at the Fermi energy: 0.494 states/eV/atom
# * crystal system: orthorhombic
# * raw formation energy: 494 meV per atom
# * theoretical density: 7.66 g cm⁻³
# * relative energy among the computed polymorphs: 0.3685 eV/atom
# * size of the total moment: 0.000 μB/f.u.
data_PWBr
_cell_length_a 3.3999
_cell_length_b 5.3437
_cell_length_c 14.0670
_cell_angle_alpha 90.00
_cell_angle_beta 90.00
_cell_angle_gamma 90.00
_symmetry_space_group_name_H-M 'F m m 2'
_symmetry_Int_Tables_number 42
_symmetry_space_group_name_Hall 'F 2 -2'
loop_
_atom_site_label
_atom_site_fract_x
_atom_site_fract_y
_atom_site_fract_z
P1 0.0000 0.0000 0.0000
W1 0.0000 0.0000 0.3846
Br1 0.0000 0.0000 0.7362

***

[4]
# P2WBr, relaxed, DFT PBE
# * DOS at the Fermi energy: 0.824 states/eV/atom
# * crystal system: tetragonal
# * raw formation energy: 477 meV per atom
# * theoretical density: 5.22 g cm⁻³
# * relative energy among the computed polymorphs: 0.4935 eV/atom
# * size of the total moment: 0.000 μB/f.u.
data_P2WBr
_cell_length_a 6.2626
_cell_length_b 6.2626
_cell_length_c 10.5751
_cell_angle_alpha 90.00
_cell_angle_beta 90.00
_cell_angle_gamma 90.00
_symmetry_space_group_name_H-M 'I -4 2 d'
_symmetry_Int_Tables_number 122
_symmetry_space_group_name_Hall 'I -4 2bw'
loop_
_atom_site_label
_atom_site_fract_x
_atom_site_fract_y
_atom_site_fract_z
P1 0.1647 0.2500 0.1250
W1 0.0000 0.0000 0.0000
Br1 0.0000 0.0000 0.5000

***

[5]
# P2WBr, relaxed, DFT PBE
# * DOS at the Fermi energy: 0.877 states/eV/atom
# * crystal system: tetragonal
# * raw formation energy: 187 meV per atom
# * theoretical density: 7.01 g cm⁻³
# * relative energy among the computed polymorphs: 0.2037 eV/atom
# * size of the total moment: 0.000 μB/f.u.
data_P2WBr
_cell_length_a 3.1241
_cell_length_b 3.1241
_cell_length_c 7.9038
_cell_angle_alpha 90.00
_cell_angle_beta 90.00
_cell_angle_gamma 90.00
_symmetry_space_group_name_H-M 'P 4/m m m'
_symmetry_Int_Tables_number 123
_symmetry_space_group_name_Hall '-P 4 2'
loop_
_atom_site_label
_atom_site_fract_x
_atom_site_fract_y
_atom_site_fract_z
P1 0.0000 0.0000 0.1626
W1 0.5000 0.5000 0.0000
Br1 0.5000 0.5000 0.5000

***

[6]
# P2WBr, relaxed, DFT PBE
# * DOS at the Fermi energy: 0.668 states/eV/atom
# * crystal system: tetragonal
# * raw formation energy: 1234 meV per atom
# * theoretical density: 7.94 g cm⁻³
# * relative energy among the computed polymorphs: 1.2506 eV/atom
# * size of the total moment: 1.470 μB/f.u.
data_P2WBr
_cell_length_a 3.7208
_cell_length_b 3.7208
_cell_length_c 4.9179
_cell_angle_alpha 90.00
_cell_angle_beta 90.00
_cell_angle_gamma 90.00
_symmetry_space_group_name_H-M 'P 4/m m m'
_symmetry_Int_Tables_number 123
_symmetry_space_group_name_Hall '-P 4 2'
loop_
_atom_site_label
_atom_site_fract_x
_atom_site_fract_y
_atom_site_fract_z
P1 0.0000 0.5000 0.0000
W1 0.0000 0.0000 0.5000
Br1 0.5000 0.5000 0.5000

***

[7]
# P2WBr, relaxed, DFT PBE
# * DOS at the Fermi energy: 0.505 states/eV/atom
# * crystal system: monoclinic
# * raw formation energy: 860 meV per atom
# * theoretical density: 8.19 g cm⁻³
# * relative energy among the computed polymorphs: 0.8772 eV/atom
# * size of the total moment: 0.000 μB/f.u.
data_P2WBr
_cell_length_a 5.8861
_cell_length_b 7.2830
_cell_length_c 3.2603
_cell_angle_alpha 90.00
_cell_angle_beta 109.14
_cell_angle_gamma 90.00
_symmetry_space_group_name_H-M 'C 1 2/m 1'
_symmetry_Int_Tables_number 12
_symmetry_space_group_name_Hall '-C 2y'
loop_
_atom_site_label
_atom_site_fract_x
_atom_site_fract_y
_atom_site_fract_z
P1 0.2500 0.2500 0.0000
W1 0.0000 0.0000 0.5000
Br1 0.0000 0.5000 0.5000

***

[8]
# P2WBr, relaxed, DFT PBE
# * DOS at the Fermi energy: 1.010 states/eV/atom
# * crystal system: orthorhombic
# * raw formation energy: 689 meV per atom
# * theoretical density: 6.58 g cm⁻³
# * relative energy among the computed polymorphs: 0.7060 eV/atom
# * size of the total moment: 0.730 μB/f.u.
data_P2WBr
_cell_length_a 2.9974
_cell_length_b 5.9533
_cell_length_c 9.2129
_cell_angle_alpha 90.00
_cell_angle_beta 90.00
_cell_angle_gamma 90.00
_symmetry_space_group_name_H-M 'C m m 2'
_symmetry_Int_Tables_number 35
_symmetry_space_group_name_Hall 'C 2 -2'
loop_
_atom_site_label
_atom_site_fract_x
_atom_site_fract_y
_atom_site_fract_z
P1 0.0000 0.0000 0.0000
P2 0.0000 0.5000 0.1682
W1 0.0000 0.0000 0.3884
Br1 0.0000 0.5000 0.6146

***

[9]
# PWBr, relaxed, DFT PBE
# * DOS at the Fermi energy: 0.594 states/eV/atom
# * crystal system: trigonal
# * raw formation energy: 128 meV per atom
# * theoretical density: 7.82 g cm⁻³
# * relative energy among the computed polymorphs: 0.0019 eV/atom
# * size of the total moment: 0.000 μB/f.u.
data_PWBr
_cell_length_a 3.3682
_cell_length_b 3.3682
_cell_length_c 6.3696
_cell_angle_alpha 90.00
_cell_angle_beta 90.00
_cell_angle_gamma 120.00
_symmetry_space_group_name_H-M 'P 3 m 1'
_symmetry_Int_Tables_number 156
_symmetry_space_group_name_Hall 'P 3 -2"'
loop_
_atom_site_label
_atom_site_fract_x
_atom_site_fract_y
_atom_site_fract_z
P1 0.0000 0.0000 0.0000
W1 0.3333 0.6667 0.2172
Br1 0.6667 0.3333 0.5234

***

[10]
# P2W2Br, relaxed, DFT PBE
# * DOS at the Fermi energy: 0.699 states/eV/atom
# * crystal system: tetragonal
# * raw formation energy: 516 meV per atom
# * theoretical density: 10.39 g cm⁻³
# * relative energy among the computed polymorphs: 0.2490 eV/atom
# * size of the total moment: 0.000 μB/f.u.
data_P2W2Br
_cell_length_a 7.3705
_cell_length_b 7.3705
_cell_length_c 2.9994
_cell_angle_alpha 90.00
_cell_angle_beta 90.00
_cell_angle_gamma 90.00
_symmetry_space_group_name_H-M 'P 4/m b m'
_symmetry_Int_Tables_number 127
_symmetry_space_group_name_Hall '-P 4 2ab'
loop_
_atom_site_label
_atom_site_fract_x
_atom_site_fract_y
_atom_site_fract_z
P1 0.1335 0.3665 0.0000
W1 0.1420 0.6420 0.5000
Br1 0.0000 0.0000 0.0000

***

[11]
# PW2Br, relaxed, DFT PBE
# * DOS at the Fermi energy: 0.865 states/eV/atom
# * crystal system: monoclinic
# * raw formation energy: 1088 meV per atom
# * theoretical density: 11.88 g cm⁻³
# * relative energy among the computed polymorphs: 0.9884 eV/atom
# * size of the total moment: 0.000 μB/f.u.
data_PW2Br
_cell_length_a 6.0229
_cell_length_b 8.2636
_cell_length_c 3.1167
_cell_angle_alpha 90.00
_cell_angle_beta 120.42
_cell_angle_gamma 90.00
_symmetry_space_group_name_H-M 'C 1 2/m 1'
_symmetry_Int_Tables_number 12
_symmetry_space_group_name_Hall '-C 2y'
loop_
_atom_site_label
_atom_site_fract_x
_atom_site_fract_y
_atom_site_fract_z
P1 0.0000 0.0000 0.0000
W1 0.2500 0.2500 0.5000
Br1 0.0000 0.5000 0.0000

***

[12]
# P3WBr, relaxed, DFT PBE
# * DOS at the Fermi energy: 0.447 states/eV/atom
# * crystal system: cubic
# * raw formation energy: 2044 meV per atom
# * theoretical density: 5.99 g cm⁻³
# * relative energy among the computed polymorphs: 1.5935 eV/atom
# * size of the total moment: 2.051 μB/f.u.
data_P3WBr
_cell_length_a 4.6253
_cell_length_b 4.6253
_cell_length_c 4.6253
_cell_angle_alpha 90.00
_cell_angle_beta 90.00
_cell_angle_gamma 90.00
_symmetry_space_group_name_H-M 'P m -3 m'
_symmetry_Int_Tables_number 221
_symmetry_space_group_name_Hall '-P 4 2 3'
loop_
_atom_site_label
_atom_site_fract_x
_atom_site_fract_y
_atom_site_fract_z
P1 0.0000 0.0000 0.5000
W1 0.5000 0.5000 0.5000
Br1 0.0000 0.0000 0.0000

***

[13]
# P3WBr, relaxed, DFT PBE
# * DOS at the Fermi energy: 0.772 states/eV/atom
# * crystal system: cubic
# * raw formation energy: 451 meV per atom
# * theoretical density: 5.61 g cm⁻³
# * relative energy among the computed polymorphs: 0.0000 eV/atom
# * size of the total moment: 0.000 μB/f.u.
data_P3WBr
_cell_length_a 4.7253
_cell_length_b 4.7253
_cell_length_c 4.7253
_cell_angle_alpha 90.00
_cell_angle_beta 90.00
_cell_angle_gamma 90.00
_symmetry_space_group_name_H-M 'P m -3 m'
_symmetry_Int_Tables_number 221
_symmetry_space_group_name_Hall '-P 4 2 3'
loop_
_atom_site_label
_atom_site_fract_x
_atom_site_fract_y
_atom_site_fract_z
P1 0.0000 0.0000 0.5000
W1 0.0000 0.0000 0.0000
Br1 0.5000 0.5000 0.5000

***

[14]
# P2WBr, relaxed, DFT PBE
# * DOS at the Fermi energy: 0.457 states/eV/atom
# * crystal system: trigonal
# * raw formation energy: -1 meV per atom
# * theoretical density: 6.83 g cm⁻³
# * relative energy among the computed polymorphs: 0.0156 eV/atom
# * size of the total moment: 0.000 μB/f.u.
data_P2WBr
_cell_length_a 3.4043
_cell_length_b 3.4043
_cell_length_c 23.6708
_cell_angle_alpha 90.00
_cell_angle_beta 90.00
_cell_angle_gamma 120.00
_symmetry_space_group_name_H-M 'R -3 m'
_symmetry_Int_Tables_number 166
_symmetry_space_group_name_Hall '-R 3 2"'
loop_
_atom_site_label
_atom_site_fract_x
_atom_site_fract_y
_atom_site_fract_z
P1 0.0000 0.0000 0.1041
W1 0.0000 0.0000 0.5000
Br1 0.0000 0.0000 0.0000

***

[15]
# PWBr2, relaxed, DFT PBE
# * DOS at the Fermi energy: 0.837 states/eV/atom
# * crystal system: tetragonal
# * raw formation energy: 245 meV per atom
# * theoretical density: 6.67 g cm⁻³
# * relative energy among the computed polymorphs: 0.3311 eV/atom
# * size of the total moment: 0.000 μB/f.u.
data_PWBr2
_cell_length_a 3.0606
_cell_length_b 3.0606
_cell_length_c 9.9530
_cell_angle_alpha 90.00
_cell_angle_beta 90.00
_cell_angle_gamma 90.00
_symmetry_space_group_name_H-M 'P 4 m m'
_symmetry_Int_Tables_number 99
_symmetry_space_group_name_Hall 'P 4 -2'
loop_
_atom_site_label
_atom_site_fract_x
_atom_site_fract_y
_atom_site_fract_z
P1 0.0000 0.0000 0.0000
W1 0.5000 0.5000 0.1348
Br1 0.0000 0.0000 0.3124
Br2 0.5000 0.5000 0.6639